[1]
The following is a DFT calculation (PBE) of crystalline Ti2PdRh at its relaxed geometry.

Computed properties:
symmetry = P4/mmm, No. 123
energy relative to the elements = -0.62 eV per atom
magnetic moment = 0.0 μB/f.u.

Cell lengths 3.6749, 4.0763, 4.0763 Å; angles 90.00, 90.00, 90.00 degrees
Last column: nearest neighbours and their distance in Å.
Positions (direct):
1 Ti 0.0000 0.0000 0.5000  4 Pd 2.74, 4 Rh 2.74, 4 Ti 2.88
2 Ti 0.0000 0.5000 0.0000  4 Pd 2.74, 4 Rh 2.74, 4 Ti 2.88
3 Rh 0.5000 0.0000 0.0000  8 Ti 2.74, 4 Pd 2.88
4 Pd 0.5000 0.5000 0.5000  8 Ti 2.74, 4 Rh 2.88

***

[2]
The following is a DFT calculation (PBE) of crystalline Sn6AsP2I3 at its relaxed geometry.

Computed properties:
symmetry = C2/m, No. 12
magnetic moment = 0.0 μB/f.u.
formation energy from raw total energies = -0.1512 eV/atom

Cell lengths 7.4096, 7.4096, 8.0405 Å; angles 98.84, 98.84, 119.96 degrees
Last column: nearest neighbours and their distance in Å.
Positions (direct):
1 Sn 0.9358 0.5948 0.8075  2 P 2.85, 1 As 2.93
2 Sn 0.2770 0.2770 0.8077  2 P 2.85, 1 As 2.93
3 Sn 0.0642 0.4052 0.1925  2 P 2.85, 1 As 2.93
4 Sn 0.4052 0.0642 0.1925  2 P 2.85, 1 As 2.93
5 Sn 0.5948 0.9358 0.8075  2 P 2.85, 1 As 2.93
6 Sn 0.7230 0.7230 0.1923  2 P 2.85, 1 As 2.93
7 As 0.0000 0.0000 0.0000  6 Sn 2.93
8 I 0.8349 0.1651 0.5000  6 Sn 3.38-3.43
9 I 0.1651 0.8349 0.5000  6 Sn 3.38-3.43
10 I 0.5000 0.5000 0.5000  6 Sn 3.37-3.43
11 P 0.6669 0.3331 0.0000  6 Sn 2.85
12 P 0.3331 0.6669 0.0000  6 Sn 2.85